Entry 1:
The following is a DFT calculation (GGA-PBE) of BeTe2O after structural relaxation.

Lattice parameters (Å, degrees): 7.0391 7.0391 7.0391 32.83 32.83 32.83
Closest atoms and distances in Å follow each position.
Positions (direct):
Be  0.0000  0.0000  0.0000  6 Te 2.64
Te  0.3986  0.3986  0.3986  1 O 2.02
Te  0.6014  0.6014  0.6014  1 O 2.02
O  0.5000  0.5000  0.5000  2 Te 2.02

**Crystal system**: trigonal
**ΔE_f (raw)**: -43 meV per atom
**Relative energy among the computed polymorphs**: 0.0 meV/atom
**Space-group type**: R-3m, No. 166

---

Entry 2:
The following is a DFT calculation (GGA-PBE) of Hf2BSb2 after structural relaxation.

Lattice parameters (Å, degrees): 6.6263 6.6263 4.6635 90.00 90.00 90.00
Closest atoms and distances in Å follow each position.
Positions (direct):
Hf  0.1734  0.3266  0.0000  2 B 2.45
Hf  0.3266  0.8266  0.0000  2 B 2.45
Hf  0.6734  0.1734  0.0000  2 B 2.45
Hf  0.8266  0.6734  0.0000  2 B 2.45
B  0.0000  0.0000  0.0000  4 Hf 2.45
B  0.5000  0.5000  0.0000  4 Hf 2.45
Sb  0.1544  0.6544  0.5000  2 Hf 2.84, 1 Sb 2.89
Sb  0.3456  0.1544  0.5000  2 Hf 2.84, 1 Sb 2.89
Sb  0.6544  0.8456  0.5000  2 Hf 2.84, 1 Sb 2.89
Sb  0.8456  0.3456  0.5000  2 Hf 2.84, 1 Sb 2.89

**Crystal system**: tetragonal
**ΔE_f (raw)**: 10 meV per atom
**Relative energy among the computed polymorphs**: 0.0 meV/atom
**Space-group type**: P4/mbm, No. 127